A plane-wave DFT calculation with PBE was carried out for a geometry-optimized RuPb2Cl structure.

abc: 8.0857 8.0857 8.0857
angles: 156.48 148.83 39.41
Closest atoms and distances in Å follow each position.
Element x y z (fractional)
Cl  0.2784  0.7784  0.5000  4 Pb 3.04, 2 Cl 3.30
Pb  0.0030  0.0030  0.0000  4 Ru 2.75
Pb  0.6905  0.1905  0.5000  2 Ru 2.97, 4 Cl 3.04, 2 Pb 3.30
Ru  0.5281  0.5281  0.0000  6 Pb 2.75-2.97

Results
For the uncorrected formation energy, the calculation gives 0.31 eV/f.u. For the raw total energy, the calculation gives -4.5580 eV/atom. Its polymorph energy (0 for the lowest one) is 61 meV per atom.